1.
A plane-wave DFT calculation with PBE was carried out for a relaxed structure of CaNdHo2Tl4.

Properties
- ΔE_f (eV per atom) = -0.3623

Cell lengths 9.449, 9.449, 9.449 Å; angles 33.29, 33.29, 33.29 degrees
Element x y z (fractional)
Ca (0.000, 0.000, 0.000)
Nd (0.500, 0.500, 0.500)
Ho (0.252, 0.252, 0.252)
Ho (0.748, 0.748, 0.748)
Tl (0.125, 0.125, 0.125)
Tl (0.375, 0.375, 0.375)
Tl (0.625, 0.625, 0.625)
Tl (0.875, 0.875, 0.875)



2.
A plane-wave DFT calculation with PBE was carried out for a relaxed structure of Li7Zn3Ni.

Properties
- ΔE_f (eV per atom) = -0.0039

Cell lengths 5.561, 5.561, 6.684 Å; angles 90.00, 90.00, 120.00 degrees
Element x y z (fractional)
Li (0.000, 0.000, 0.000)
Li (0.168, 0.336, 0.366)
Li (0.168, 0.832, 0.366)
Li (0.506, 0.011, 0.021)
Li (0.506, 0.494, 0.021)
Li (0.664, 0.832, 0.366)
Li (0.989, 0.494, 0.021)
Zn (0.341, 0.171, 0.677)
Zn (0.829, 0.171, 0.677)
Zn (0.829, 0.659, 0.677)
Ni (0.667, 0.333, 0.378)



3.
A plane-wave DFT calculation with PBE was carried out for a relaxed structure of Ho2TlCdO6.

Cell lengths 6.115, 6.115, 6.115 Å; angles 56.40, 56.40, 56.40 degrees
Element x y z (fractional)
Ho (0.000, 0.000, 0.000)
Ho (0.499, 0.499, 0.499)
Tl (0.286, 0.286, 0.286)
Cd (0.786, 0.786, 0.786)
O (0.107, 0.693, 0.388)
O (0.195, 0.603, 0.891)
O (0.388, 0.107, 0.693)
O (0.603, 0.891, 0.195)
O (0.693, 0.388, 0.107)
O (0.891, 0.195, 0.603)



4.
A plane-wave DFT calculation with PBE was carried out for a relaxed structure of CsNi2Te.

Cell lengths 8.959, 8.959, 8.959 Å; angles 144.78, 144.78, 50.67 degrees
Element x y z (fractional)
Cs (0.375, 0.625, 0.750)
Cs (0.625, 0.375, 0.250)
Ni (0.000, 0.000, 0.000)
Ni (0.000, 0.000, 0.500)
Ni (0.000, 0.500, 0.000)
Ni (0.500, 0.000, 0.500)
Te (0.125, 0.875, 0.250)
Te (0.875, 0.125, 0.750)



Number 1: ρ 9.77 g/cm3, raw total energy -3.536 eV per atom, volume 226.29 Å³/cell. Number 2: ρ 2.82 g/cm3, raw total energy -2.095 eV per atom, volume 179.00 Å³/cell. Number 3: ρ 8.32 g/cm3, raw total energy -6.264 eV per atom, volume 148.20 Å³/cell. Number 4: ρ 5.27 g/cm3, raw total energy -3.871 eV per atom, volume 238.01 Å³/cell.